(1)
{
  "formula": "YNiPt2",
  "functional": "PBE-GGA",
  "state": "optimized geometry",
  "delta_e_f_ev_per_atom": -0.6502,
  "cell": [[4.592, -2.030, 0.000], [4.592, 2.030, 0.000], [-1.791, 0.000, 3.648]],
  "species": ["Y", "Ni", "Pt", "Pt"],
  "fractional_positions": [[0.000, 0.000, 0.000], [0.250, 0.250, 0.746], [0.500, 0.500, 0.501], [0.750, 0.750, 0.250]]
}



(2)
{
  "formula": "ZrPOF2",
  "functional": "PBE-GGA",
  "state": "optimized geometry",
  "polymorph_energy_ev_per_fu": 0.000,
  "formation_energy_uncorrected_ev_per_fu": -9.38,
  "cell": [[4.382, 0.000, 0.000], [0.000, 4.382, 0.000], [0.000, 0.000, 4.081]],
  "species": ["Zr", "P", "O", "F", "F"],
  "fractional_positions": [[0.000, 0.000, 0.000], [0.500, 0.500, 0.500], [0.000, 0.000, 0.500], [0.000, 0.500, 0.000], [0.500, 0.000, 0.000]]
}



(3)
{
  "formula": "DySnPdPt",
  "functional": "PBE-GGA",
  "state": "optimized geometry",
  "delta_e_f_ev_per_atom": -0.9089,
  "cell": [[0.000, 3.401, 3.401], [3.401, 0.000, 3.401], [3.401, 3.401, 0.000]],
  "species": ["Dy", "Sn", "Pd", "Pt"],
  "fractional_positions": [[0.000, 0.000, 0.000], [0.500, 0.500, 0.500], [0.250, 0.250, 0.250], [0.750, 0.750, 0.750]]
}



(4)
{
  "formula": "NdTm4Th2",
  "functional": "PBE-GGA",
  "state": "optimized geometry",
  "polymorph_energy_ev_per_fu": 5.053,
  "delta_e_f_ev_per_atom": 0.8114,
  "cell": [[-2.776, 2.776, 8.287], [2.776, -2.776, 8.287], [2.776, 2.776, -8.287]],
  "species": ["Nd", "Tm", "Tm", "Tm", "Tm", "Th", "Th"],
  "fractional_positions": [[0.000, 0.000, 0.000], [0.000, 0.500, 0.500], [0.179, 0.179, 0.000], [0.500, 0.000, 0.500], [0.821, 0.821, 0.000], [0.386, 0.386, 0.000], [0.614, 0.614, 0.000]]
}



(5)
{
  "formula": "Co2H2Rh",
  "functional": "PBE-GGA",
  "state": "optimized geometry",
  "polymorph_energy_ev_per_fu": 0.655,
  "cell": [[-1.588, 1.588, 4.071], [1.588, -1.588, 4.071], [1.588, 1.588, -4.071]],
  "species": ["Co", "Co", "H", "H", "Rh"],
  "fractional_positions": [[0.170, 0.170, 0.000], [0.830, 0.830, 0.000], [0.250, 0.750, 0.500], [0.750, 0.250, 0.500], [0.500, 0.500, 0.000]]
}



(6)
{
  "formula": "Pm2ZnAu",
  "functional": "PBE-GGA",
  "state": "optimized geometry",
  "polymorph_energy_ev_per_fu": 0.000,
  "delta_e_f_ev_per_atom": -0.5561,
  "cell": [[5.186, 0.000, 0.000], [0.000, 3.689, 0.000], [0.000, 0.000, 10.402]],
  "species": ["Pm", "Pm", "Pm", "Pm", "Zn", "Zn", "Au", "Au"],
  "fractional_positions": [[0.250, 0.000, 0.124], [0.250, 0.000, 0.625], [0.750, 0.000, 0.375], [0.750, 0.000, 0.876], [0.250, 0.500, 0.383], [0.750, 0.500, 0.617], [0.250, 0.500, 0.869], [0.750, 0.500, 0.131]]
}



(7)
{
  "formula": "CoWCl2",
  "functional": "PBE-GGA",
  "state": "optimized geometry",
  "polymorph_energy_ev_per_fu": 3.238,
  "formation_energy_uncorrected_ev_per_fu": 2.75,
  "cell": [[1.424, -2.790, 0.000], [1.424, 2.790, 0.000], [0.000, 0.000, 8.147]],
  "species": ["Co", "W", "Cl", "Cl"],
  "fractional_positions": [[0.000, 0.000, 0.000], [0.000, 0.000, 0.500], [0.500, 0.500, 0.245], [0.500, 0.500, 0.755]]
}



(8)
{
  "formula": "Na2NpTlBr8",
  "functional": "PBE-GGA",
  "state": "optimized geometry",
  "formation_energy_uncorrected_ev_per_fu": -13.92,
  "cell": [[6.723, 0.000, 0.000], [0.000, 9.413, 0.000], [-0.563, 0.000, 6.937]],
  "species": ["Na", "Na", "Np", "Tl", "Br", "Br", "Br", "Br", "Br", "Br", "Br", "Br"],
  "fractional_positions": [[0.000, 0.248, 0.000], [0.000, 0.752, 0.000], [0.500, 0.000, 0.500], [0.500, 0.500, 0.500], [0.187, 0.500, 0.175], [0.233, 0.000, 0.177], [0.285, 0.210, 0.661], [0.285, 0.790, 0.661], [0.715, 0.210, 0.339], [0.715, 0.790, 0.339], [0.767, 0.000, 0.823], [0.813, 0.500, 0.825]]
}



(9)
{
  "formula": "PdAuO2F",
  "functional": "PBE-GGA",
  "state": "optimized geometry",
  "formation_energy_uncorrected_ev_per_fu": 1.86,
  "cell": [[4.100, 0.000, 0.000], [0.000, 4.100, 0.000], [0.000, 0.000, 4.260]],
  "species": ["Pd", "Au", "O", "O", "F"],
  "fractional_positions": [[0.000, 0.000, 0.000], [0.500, 0.500, 0.500], [0.000, 0.500, 0.500], [0.500, 0.000, 0.500], [0.500, 0.500, 0.000]]
}



(10)
{
  "formula": "CaTl2Pb",
  "functional": "PBE-GGA",
  "state": "optimized geometry",
  "delta_e_f_ev_per_atom": -0.2057,
  "cell": [[4.104, 0.000, 0.000], [0.000, 4.104, 0.000], [0.000, 0.000, 7.192]],
  "species": ["Ca", "Tl", "Tl", "Pb"],
  "fractional_positions": [[0.000, 0.000, 0.000], [0.000, 0.000, 0.503], [0.500, 0.500, 0.746], [0.500, 0.500, 0.260]]
}



(11)
{
  "formula": "RbTb2Br8",
  "functional": "PBE-GGA",
  "state": "optimized geometry",
  "formation_energy_uncorrected_ev_per_fu": -17.65,
  "cell": [[5.878, -4.470, 0.000], [5.878, 4.470, 0.000], [-1.756, 0.000, 8.476]],
  "species": ["Rb", "Tb", "Tb", "Br", "Br", "Br", "Br", "Br", "Br", "Br", "Br"],
  "fractional_positions": [[0.000, 0.000, 0.000], [0.323, 0.323, 0.538], [0.677, 0.677, 0.462], [0.047, 0.671, 0.649], [0.237, 0.237, 0.815], [0.329, 0.953, 0.351], [0.439, 0.439, 0.285], [0.561, 0.561, 0.715], [0.671, 0.047, 0.649], [0.763, 0.763, 0.185], [0.953, 0.329, 0.351]]
}



(12)
{
  "formula": "HoSi3Pt2",
  "functional": "PBE-GGA",
  "state": "optimized geometry",
  "formation_energy_uncorrected_ev_per_fu": -4.76,
  "cell": [[7.746, -2.033, 0.000], [7.746, 2.033, 0.000], [-3.100, 0.000, 6.477]],
  "species": ["Ho", "Ho", "Si", "Si", "Si", "Si", "Si", "Si", "Pt", "Pt", "Pt", "Pt"],
  "fractional_positions": [[0.126, 0.126, 0.157], [0.874, 0.874, 0.843], [0.045, 0.045, 0.675], [0.318, 0.318, 0.109], [0.341, 0.341, 0.535], [0.659, 0.659, 0.465], [0.682, 0.682, 0.891], [0.955, 0.955, 0.325], [0.211, 0.211, 0.699], [0.488, 0.488, 0.184], [0.512, 0.512, 0.816], [0.789, 0.789, 0.301]]
}



M_tot, record by record: 0.17; 0.60; 0.00; 0.00; 0.63; 0.00; 0.57; 0.23; 0.40; 0.00; 0.10; 0.00 μB per atom